(1)
Here is an optimized crystal structure of AcSb3As from the Alexandria database. Energies are from PBE-GGA.

Values from the calculation:
Size of the total moment = 0.000 μB/f.u.
Raw formation energy = -0.062 eV per atom
Total energy = -4.287 eV per atom
Density of states at the Fermi level = 6.14 states/eV/cell

Cell: 5.422 5.422 5.422 Å, 90.00 90.00 90.00°
Fractional coordinates of all 5 atoms:
Sb 0.000 0.500 0.000
Sb 0.000 0.000 0.500
Sb 0.500 0.000 0.000
Ac 0.500 0.500 0.500
As 0.000 0.000 0.000


(2)
Here is an optimized crystal structure of AcSbAs from the Alexandria database. Energies are from PBE-GGA.

Values from the calculation:
Size of the total moment = 0.000 μB/f.u.
Energy above the lowest structure with this stoichiometry = 0 meV per atom
Raw formation energy = -0.917 eV per atom
Total energy = -5.211 eV per atom
Density of states at the Fermi level = 1.67 states/eV/cell

Cell: 4.634 4.425 9.174 Å, 103.96 90.00 90.00°
Fractional coordinates of all 6 atoms:
Ac 0.250 0.101 0.202
Ac 0.750 0.899 0.798
Sb 0.250 0.752 0.503
Sb 0.750 0.248 0.497
As 0.250 0.466 0.932
As 0.750 0.534 0.068


(3)
Here is an optimized crystal structure of Ac2SbAs from the Alexandria database. Energies are from PBE-GGA.

Values from the calculation:
Size of the total moment = 0.000 μB/f.u.
Energy above the lowest structure with this stoichiometry = 100 meV per atom
Raw formation energy = -1.239 eV per atom
Total energy = -5.486 eV per atom
Density of states at the Fermi level = 0.32 states/eV/cell

Cell: 4.603 4.603 8.383 Å, 74.06 74.06 60.00°
Fractional coordinates of all 4 atoms:
Ac 0.077 0.077 0.769
Ac 0.256 0.256 0.233
Sb 0.499 0.499 0.502
As 0.668 0.668 0.996


(4)
Here is an optimized crystal structure of Ac2SbAs from the Alexandria database. Energies are from PBE-GGA.

Values from the calculation:
Size of the total moment = 0.000 μB/f.u.
Energy above the lowest structure with this stoichiometry = 299 meV per atom
Raw formation energy = -1.039 eV per atom
Total energy = -5.286 eV per atom
Density of states at the Fermi level = 2.23 states/eV/cell

Cell: 3.929 3.929 8.155 Å, 90.00 90.00 90.00°
Fractional coordinates of all 4 atoms:
Sb 0.500 0.500 0.500
Ac 0.000 0.000 0.769
Ac 0.000 0.000 0.231
As 0.500 0.500 0.000


(5)
Here is an optimized crystal structure of AcSbAs2 from the Alexandria database. Energies are from PBE-GGA.

Values from the calculation:
Size of the total moment = 0.000 μB/f.u.
Energy above the lowest structure with this stoichiometry = 0 meV per atom
Raw formation energy = -0.596 eV per atom
Total energy = -4.979 eV per atom
Density of states at the Fermi level = 2.19 states/eV/cell

Cell: 4.137 5.004 5.004 Å, 90.00 90.00 90.00°
Fractional coordinates of all 4 atoms:
Sb 0.500 0.000 0.000
Ac 0.500 0.500 0.500
As 0.000 0.000 0.500
As 0.000 0.500 0.000


(6)
Here is an optimized crystal structure of Ac6Sb3AsSe2 from the Alexandria database. Energies are from PBE-GGA.

Values from the calculation:
Size of the total moment = 0.000 μB/f.u.
Raw formation energy = -1.504 eV per atom
Total energy = -5.557 eV per atom
Density of states at the Fermi level = 2.75 states/eV/cell

Cell: 8.077 8.077 8.026 Å, 99.63 99.63 120.02°
Fractional coordinates of all 12 atoms:
Ac 0.920 0.592 0.760
Ac 0.753 0.753 0.242
Ac 0.080 0.408 0.240
Ac 0.592 0.920 0.760
Ac 0.247 0.247 0.758
Ac 0.408 0.080 0.240
Sb 0.169 0.831 0.500
Sb 0.831 0.169 0.500
Sb 0.500 0.500 0.500
As 0.000 0.000 0.000
Se 0.334 0.666 0.000
Se 0.666 0.334 0.000


> size of the total moment of number 6 (Ac6Sb3AsSe2)?

0.000 μB/f.u.